[1]
Entry from Alexandria via LeMat-Bulk: a relaxed Ba2ScRe crystal (PBE).

a b c (Å): 3.8540 3.7089 9.9207
angles (deg): 73.50 90.00 90.00
Closest atoms and distances in Å follow each position.
Fractional positions:
Ba  0.0000  0.0952  0.9232  1 Re 3.29, 4 Sc 3.61-3.63
Ba  0.5000  0.2527  0.3322  2 Re 3.23, 1 Sc 3.28
Re  0.0000  0.3675  0.5778  4 Sc 2.77-2.84
Sc  0.5000  0.7845  0.6669  4 Re 2.77-2.84

Output
The formation energy comes out at 0.497 eV per atom. Its density of states at the Fermi level is 4.20 states/eV/f.u. The energy relative to the lowest polymorph listed for this composition is 0 meV per atom. As for the crystal system: monoclinic. The total moment comes out at 0.0 Bohr magnetons per cell. The electronic total energy comes out at -5.16 eV per atom.

---

[2]
Entry from Alexandria via LeMat-Bulk: a relaxed BaScRe2 crystal (PBE).

a b c (Å): 10.3979 10.3979 10.3979
angles (deg): 16.83 16.83 16.83
Closest atoms and distances in Å follow each position.
Fractional positions:
Ba  0.7500  0.7500  0.7500  6 Ba 3.04, 6 Re 3.41
Re  0.9883  0.9883  0.9883  3 Sc 2.82, 6 Re 3.04
Re  0.5117  0.5117  0.5117  3 Sc 2.82, 6 Re 3.04
Sc  0.2500  0.2500  0.2500  6 Re 2.82, 6 Sc 3.04

Output
The formation energy comes out at 0.997 eV per atom. Its density of states at the Fermi level is 4.25 states/eV/f.u. The energy relative to the lowest polymorph listed for this composition is 697 meV per atom. As for the crystal system: trigonal. The total moment comes out at 0.0 Bohr magnetons per cell. The electronic total energy comes out at -7.29 eV per atom.

---

[3]
Entry from Alexandria via LeMat-Bulk: a relaxed BaSc2Re crystal (PBE).

a b c (Å): 4.8906 4.8857 3.8555
angles (deg): 90.00 90.00 90.00
Closest atoms and distances in Å follow each position.
Fractional positions:
Ba  0.5000  0.0000  0.5000  8 Sc 3.11, 4 Re 3.46
Re  0.0000  0.5000  0.5000  8 Sc 3.11, 4 Ba 3.46
Sc  0.0000  0.0000  0.0000  4 Re 3.11, 4 Ba 3.11, 4 Sc 3.46
Sc  0.5000  0.5000  0.0000  4 Ba 3.11, 4 Re 3.11, 4 Sc 3.46

Output
The formation energy comes out at 0.774 eV per atom. Its density of states at the Fermi level is 5.39 states/eV/f.u. The energy relative to the lowest polymorph listed for this composition is 627 meV per atom. As for the crystal system: tetragonal. The total moment comes out at 0.0 Bohr magnetons per cell. The electronic total energy comes out at -5.98 eV per atom.

---

[4]
Entry from Alexandria via LeMat-Bulk: a relaxed BaSc3Re crystal (PBE).

a b c (Å): 5.2633 5.2633 5.2633
angles (deg): 90.00 90.00 90.00
Closest atoms and distances in Å follow each position.
Fractional positions:
Sc  0.0000  0.5000  0.0000  2 Re 2.63
Sc  0.0000  0.0000  0.5000  2 Re 2.63
Sc  0.5000  0.0000  0.0000  2 Re 2.63
Re  0.0000  0.0000  0.0000  6 Sc 2.63
Ba  0.5000  0.5000  0.5000  12 Sc 3.72

Output
The formation energy comes out at 0.162 eV per atom. Its density of states at the Fermi level is 2.20 states/eV/f.u. The energy relative to the lowest polymorph listed for this composition is 0 meV per atom. As for the crystal system: cubic. The total moment comes out at 0.0 Bohr magnetons per cell. The electronic total energy comes out at -6.51 eV per atom.

---

[5]
Entry from Alexandria via LeMat-Bulk: a relaxed BaScRe2 crystal (PBE).

a b c (Å): 5.8698 5.8698 2.8930
angles (deg): 90.00 90.00 124.07
Closest atoms and distances in Å follow each position.
Fractional positions:
Ba  0.0000  0.5000  0.5000  2 Sc 2.75, 2 Ba 2.89
Re  0.0000  0.0000  0.0000  4 Re 2.75-2.89
Re  0.5000  0.5000  0.0000  4 Re 2.75-2.89
Sc  0.5000  0.0000  0.5000  2 Ba 2.75, 2 Sc 2.89

Output
The formation energy comes out at 1.190 eV per atom. Its density of states at the Fermi level is 5.03 states/eV/f.u. The energy relative to the lowest polymorph listed for this composition is 890 meV per atom. As for the crystal system: orthorhombic. The total moment comes out at 0.2 Bohr magnetons per cell. The electronic total energy comes out at -7.10 eV per atom.

---

[6]
Entry from Alexandria via LeMat-Bulk: a relaxed BaScRe2 crystal (PBE).

a b c (Å): 3.1895 3.1895 9.0807
angles (deg): 90.00 90.00 90.00
Closest atoms and distances in Å follow each position.
Fractional positions:
Ba  0.5000  0.5000  0.7921  4 Ba 3.19, 4 Re 3.41
Re  0.0000  0.0000  0.0731  4 Re 2.62
Re  0.5000  0.5000  0.2195  4 Re 2.62, 4 Sc 2.87
Sc  0.0000  0.0000  0.4153  5 Re 2.87-3.11, 4 Sc 3.19

Output
The formation energy comes out at 0.336 eV per atom. Its density of states at the Fermi level is 3.48 states/eV/f.u. The energy relative to the lowest polymorph listed for this composition is 36 meV per atom. As for the crystal system: tetragonal. The total moment comes out at 0.0 Bohr magnetons per cell. The electronic total energy comes out at -7.95 eV per atom.